Entry from Alexandria: a geometry-optimized Tl2NiPbF6 structure (PBE with a Hubbard U).

abc: 6.137 8.906 6.562
angles: 90.00 90.00 90.00
Positions (direct):
Tl  0.250  0.020  0.214
Tl  0.250  0.480  0.214
Tl  0.750  0.520  0.786
Tl  0.750  0.980  0.786
Ni  0.250  0.750  0.773
Ni  0.750  0.250  0.227
Pb  0.250  0.250  0.718
Pb  0.750  0.750  0.282
F  0.010  0.750  0.992
F  0.011  0.750  0.561
F  0.250  0.520  0.788
F  0.250  0.980  0.788
F  0.489  0.750  0.561
F  0.490  0.750  0.992
F  0.510  0.250  0.008
F  0.511  0.250  0.439
F  0.750  0.020  0.212
F  0.750  0.480  0.212
F  0.989  0.250  0.439
F  0.990  0.250  0.008

Values from the calculation:
symmetry = No. 59
uncorrected energy = -4.290 eV per atom